# Be2CrW, optimized geometry, DFT GGA-PBEsol
# energy of formation from the pure elements: 0.48 eV/atom
# E above lowest polymorph: 333 meV per atom
# magnetic moment: 0.001 μB/f.u.
data_Be2CrW
_chemical_formula_sum 'Be6 Cr3 W3'
_cell_length_a 2.5982
_cell_length_b 2.5982
_cell_length_c 24.3901
_cell_angle_alpha 90.00
_cell_angle_beta 90.00
_cell_angle_gamma 120.00
_space_group_name_H-M_alt 'R 3 m'
_space_group_IT_number 160
_space_group_name_Hall 'R 3 -2"'
loop_
_atom_site_label
_atom_site_fract_x
_atom_site_fract_y
_atom_site_fract_z
Be1 0.0000 0.0000 0.0000
Be2 0.0000 0.0000 0.2590
Cr1 0.0000 0.0000 0.5141
W1 0.0000 0.0000 0.7534